[1]
Here is a relaxed Cd2GeBi2 crystal from the Alexandria database. Energies are from PBE.

## Properties
* energy above the lowest structure with this stoichiometry: 0.024 eV per atom
* SG: P4/mbm, No. 127
* V: 140.5 Å³/f.u.
* total DFT energy (no corrections): -0.095 hartree per atom
* total moment: 0.0000 μB per atom
* ΔE_f: 118 kJ/mol of formula units

a b c (Å): 8.8529 8.8529 3.5848
angles (deg): 90.00 90.00 90.00
Closest atoms and distances in Å follow each position.
Fractional coordinates of all 10 atoms:
Cd 0.1168 0.3832 0.0000  1 Cd 2.93, 2 Bi 3.04
Cd 0.3832 0.8832 0.0000  1 Cd 2.93, 2 Bi 3.04
Cd 0.6168 0.1168 0.0000  1 Cd 2.93, 2 Bi 3.04
Cd 0.8832 0.6168 0.0000  1 Cd 2.93, 2 Bi 3.04
Ge 0.0000 0.0000 0.5000  4 Bi 3.23, 2 Ge 3.58
Ge 0.5000 0.5000 0.5000  4 Bi 3.23, 2 Ge 3.58
Bi 0.1875 0.6875 0.5000  6 Cd 3.04-3.30, 2 Ge 3.23
Bi 0.3125 0.1875 0.5000  6 Cd 3.04-3.30, 2 Ge 3.23
Bi 0.6875 0.8125 0.5000  6 Cd 3.04-3.30, 2 Ge 3.23
Bi 0.8125 0.3125 0.5000  6 Cd 3.04-3.30, 2 Ge 3.23


[2]
Here is a relaxed CdGe3Bi crystal from the Alexandria database. Energies are from PBE.

## Properties
* energy above the lowest structure with this stoichiometry: 0.000 eV per atom
* SG: Pm-3m, No. 221
* V: 138.6 Å³/f.u.
* total DFT energy (no corrections): -0.110 hartree per atom
* total moment: 0.0000 μB per atom
* ΔE_f: 350 kJ/mol of formula units

a b c (Å): 5.1754 5.1754 5.1754
angles (deg): 90.00 90.00 90.00
Closest atoms and distances in Å follow each position.
Fractional coordinates of all 5 atoms:
Cd 0.0000 0.0000 0.0000  6 Ge 2.59
Ge 0.0000 0.0000 0.5000  2 Cd 2.59
Ge 0.0000 0.5000 0.0000  2 Cd 2.59
Ge 0.5000 0.0000 0.0000  2 Cd 2.59
Bi 0.5000 0.5000 0.5000  12 Ge 3.66


[3]
Here is a relaxed CdGeBi2 crystal from the Alexandria database. Energies are from PBE.

## Properties
* SG: I-42d, No. 122
* V: 144.6 Å³/f.u.
* total DFT energy (no corrections): -0.117 hartree per atom
* total moment: 0.0000 μB per atom
* ΔE_f: 54 kJ/mol of formula units

a b c (Å): 7.9888 7.9888 7.9888
angles (deg): 130.35 130.35 72.85
Closest atoms and distances in Å follow each position.
Fractional coordinates of all 8 atoms:
Cd 0.0000 0.0000 0.0000  4 Bi 2.93
Cd 0.7500 0.2500 0.5000  4 Bi 2.93
Ge 0.2500 0.7500 0.5000  4 Bi 2.80
Ge 0.5000 0.5000 0.0000  4 Bi 2.80
Bi 0.1424 0.6250 0.0174  2 Ge 2.80, 2 Cd 2.93
Bi 0.3750 0.3924 0.5174  2 Ge 2.80, 2 Cd 2.93
Bi 0.6076 0.1250 0.9826  2 Ge 2.80, 2 Cd 2.93
Bi 0.8750 0.8576 0.4826  2 Ge 2.80, 2 Cd 2.93


[4]
Here is a relaxed Cd2Ge2Bi crystal from the Alexandria database. Energies are from PBE.

## Properties
* energy above the lowest structure with this stoichiometry: 0.032 eV per atom
* SG: I4/mmm, No. 139
* V: 122.5 Å³/f.u.
* total DFT energy (no corrections): -0.101 hartree per atom
* total moment: 0.0000 μB per atom
* ΔE_f: 111 kJ/mol of formula units

a b c (Å): 6.5749 6.5749 6.5749
angles (deg): 138.71 138.71 59.82
Closest atoms and distances in Å follow each position.
Fractional coordinates of all 5 atoms:
Cd 0.2500 0.7500 0.5000  4 Ge 2.83
Cd 0.7500 0.2500 0.5000  4 Ge 2.83
Ge 0.1078 0.1078 0.0000  1 Ge 2.46
Ge 0.8922 0.8922 0.0000  1 Ge 2.46
Bi 0.5000 0.5000 0.0000  8 Ge 3.50, 8 Cd 3.67


[5]
Here is a relaxed Cd2GeBi2 crystal from the Alexandria database. Energies are from PBE.

## Properties
* energy above the lowest structure with this stoichiometry: 0.015 eV per atom
* SG: P4/mbm, No. 127
* V: 135.3 Å³/f.u.
* total DFT energy (no corrections): -0.096 hartree per atom
* total moment: 0.0000 μB per atom
* ΔE_f: 114 kJ/mol of formula units

a b c (Å): 7.7108 7.7108 4.5507
angles (deg): 90.00 90.00 90.00
Closest atoms and distances in Å follow each position.
Fractional coordinates of all 10 atoms:
Cd 0.1385 0.3615 0.0000  2 Ge 2.99, 1 Cd 3.02, 6 Bi 3.10-3.29
Cd 0.3615 0.8615 0.0000  2 Ge 2.99, 1 Cd 3.02, 6 Bi 3.10-3.29
Cd 0.6385 0.1385 0.0000  2 Ge 2.99, 1 Cd 3.02, 6 Bi 3.10-3.29
Cd 0.8615 0.6385 0.0000  2 Ge 2.99, 1 Cd 3.02, 6 Bi 3.10-3.29
Ge 0.0000 0.0000 0.0000  4 Cd 2.99
Ge 0.5000 0.5000 0.0000  4 Cd 2.99
Bi 0.1686 0.6686 0.5000  6 Cd 3.10-3.29
Bi 0.3314 0.1686 0.5000  6 Cd 3.10-3.29
Bi 0.6686 0.8314 0.5000  6 Cd 3.10-3.29
Bi 0.8314 0.3314 0.5000  6 Cd 3.10-3.29


[6]
Here is a relaxed Cd12Ge3Bi5 crystal from the Alexandria database. Energies are from PBE.

## Properties
* SG: Ia-3d, No. 230
* V: 604.4 Å³/f.u.
* total DFT energy (no corrections): -0.076 hartree per atom
* total moment: 0.0000 μB per atom
* ΔE_f: 301 kJ/mol of formula units

a b c (Å): 14.6441 14.6441 14.6441
angles (deg): 109.47 109.47 109.47
Closest atoms and distances in Å follow each position.
Fractional coordinates of all 80 atoms:
Cd 0.0611 0.6317 0.3889  1 Ge 2.75, 2 Bi 2.87-3.01, 1 Cd 3.06
Cd 0.0611 0.9295 0.6722  1 Ge 2.75, 2 Bi 2.87-3.01, 1 Cd 3.06
Cd 0.0705 0.2428 0.1317  1 Ge 2.75, 2 Bi 2.87-3.01, 1 Cd 3.06
Cd 0.0705 0.3278 0.9389  1 Ge 2.75, 2 Bi 2.87-3.01, 1 Cd 3.06
Cd 0.1111 0.7428 0.6722  1 Ge 2.75, 2 Bi 2.87-3.01, 1 Cd 3.06
Cd 0.1111 0.8683 0.4389  1 Ge 2.75, 2 Bi 2.87-3.01, 1 Cd 3.06
Cd 0.1317 0.0705 0.2428  1 Ge 2.75, 2 Bi 2.87-3.01, 1 Cd 3.06
Cd 0.1317 0.5611 0.8889  1 Ge 2.75, 2 Bi 2.87-3.01, 1 Cd 3.06
Cd 0.1722 0.2428 0.6111  1 Ge 2.75, 2 Bi 2.87-3.01, 1 Cd 3.06
Cd 0.1722 0.4295 0.5611  1 Ge 2.75, 2 Bi 2.87-3.01, 1 Cd 3.06
Cd 0.2428 0.1317 0.0705  1 Ge 2.75, 2 Bi 2.87-3.01, 1 Cd 3.06
Cd 0.2428 0.6111 0.1722  1 Ge 2.75, 2 Bi 2.87-3.01, 1 Cd 3.06
Cd 0.2572 0.3278 0.8889  1 Ge 2.75, 2 Bi 2.87-3.01, 1 Cd 3.06
Cd 0.2572 0.4295 0.3683  1 Ge 2.75, 2 Bi 2.87-3.01, 1 Cd 3.06
Cd 0.3278 0.8889 0.2572  1 Ge 2.75, 2 Bi 2.87-3.01, 1 Cd 3.06
Cd 0.3278 0.9389 0.0705  1 Ge 2.75, 2 Bi 2.87-3.01, 1 Cd 3.06
Cd 0.3683 0.2572 0.4295  1 Ge 2.75, 2 Bi 2.87-3.01, 1 Cd 3.06
Cd 0.3683 0.6111 0.9389  1 Ge 2.75, 2 Bi 2.87-3.01, 1 Cd 3.06
Cd 0.3889 0.0611 0.6317  1 Ge 2.75, 2 Bi 2.87-3.01, 1 Cd 3.06
Cd 0.3889 0.8278 0.7572  1 Ge 2.75, 2 Bi 2.87-3.01, 1 Cd 3.06
Cd 0.4295 0.3683 0.2572  1 Ge 2.75, 2 Bi 2.87-3.01, 1 Cd 3.06
Cd 0.4295 0.5611 0.1722  1 Ge 2.75, 2 Bi 2.87-3.01, 1 Cd 3.06
Cd 0.4389 0.1111 0.8683  1 Ge 2.75, 2 Bi 2.87-3.01, 1 Cd 3.06
Cd 0.4389 0.8278 0.5705  1 Ge 2.75, 2 Bi 2.87-3.01, 1 Cd 3.06
Cd 0.5611 0.1722 0.4295  1 Ge 2.75, 2 Bi 2.87-3.01, 1 Cd 3.06
Cd 0.5611 0.8889 0.1317  1 Ge 2.75, 2 Bi 2.87-3.01, 1 Cd 3.06
Cd 0.5705 0.4389 0.8278  1 Ge 2.75, 2 Bi 2.87-3.01, 1 Cd 3.06
Cd 0.5705 0.6317 0.7428  1 Ge 2.75, 2 Bi 2.87-3.01, 1 Cd 3.06
Cd 0.6111 0.1722 0.2428  1 Ge 2.75, 2 Bi 2.87-3.01, 1 Cd 3.06
Cd 0.6111 0.9389 0.3683  1 Ge 2.75, 2 Bi 2.87-3.01, 1 Cd 3.06
Cd 0.6317 0.3889 0.0611  1 Ge 2.75, 2 Bi 2.87-3.01, 1 Cd 3.06
Cd 0.6317 0.7428 0.5705  1 Ge 2.75, 2 Bi 2.87-3.01, 1 Cd 3.06
Cd 0.6722 0.0611 0.9295  1 Ge 2.75, 2 Bi 2.87-3.01, 1 Cd 3.06
Cd 0.6722 0.1111 0.7428  1 Ge 2.75, 2 Bi 2.87-3.01, 1 Cd 3.06
Cd 0.7428 0.5705 0.6317  1 Ge 2.75, 2 Bi 2.87-3.01, 1 Cd 3.06
Cd 0.7428 0.6722 0.1111  1 Ge 2.75, 2 Bi 2.87-3.01, 1 Cd 3.06
Cd 0.7572 0.3889 0.8278  1 Ge 2.75, 2 Bi 2.87-3.01, 1 Cd 3.06
Cd 0.7572 0.8683 0.9295  1 Ge 2.75, 2 Bi 2.87-3.01, 1 Cd 3.06
Cd 0.8278 0.5705 0.4389  1 Ge 2.75, 2 Bi 2.87-3.01, 1 Cd 3.06
Cd 0.8278 0.7572 0.3889  1 Ge 2.75, 2 Bi 2.87-3.01, 1 Cd 3.06
Cd 0.8683 0.4389 0.1111  1 Ge 2.75, 2 Bi 2.87-3.01, 1 Cd 3.06
Cd 0.8683 0.9295 0.7572  1 Ge 2.75, 2 Bi 2.87-3.01, 1 Cd 3.06
Cd 0.8889 0.1317 0.5611  1 Ge 2.75, 2 Bi 2.87-3.01, 1 Cd 3.06
Cd 0.8889 0.2572 0.3278  1 Ge 2.75, 2 Bi 2.87-3.01, 1 Cd 3.06
Cd 0.9295 0.6722 0.0611  1 Ge 2.75, 2 Bi 2.87-3.01, 1 Cd 3.06
Cd 0.9295 0.7572 0.8683  1 Ge 2.75, 2 Bi 2.87-3.01, 1 Cd 3.06
Cd 0.9389 0.0705 0.3278  1 Ge 2.75, 2 Bi 2.87-3.01, 1 Cd 3.06
Cd 0.9389 0.3683 0.6111  1 Ge 2.75, 2 Bi 2.87-3.01, 1 Cd 3.06
Ge 0.1250 0.2500 0.3750  4 Cd 2.75
Ge 0.1250 0.3750 0.7500  4 Cd 2.75
Ge 0.2500 0.3750 0.1250  4 Cd 2.75
Ge 0.2500 0.8750 0.6250  4 Cd 2.75
Ge 0.3750 0.1250 0.2500  4 Cd 2.75
Ge 0.3750 0.7500 0.1250  4 Cd 2.75
Ge 0.6250 0.2500 0.8750  4 Cd 2.75
Ge 0.6250 0.8750 0.7500  4 Cd 2.75
Ge 0.7500 0.1250 0.3750  4 Cd 2.75
Ge 0.7500 0.6250 0.8750  4 Cd 2.75
Ge 0.8750 0.6250 0.2500  4 Cd 2.75
Ge 0.8750 0.7500 0.6250  4 Cd 2.75
Bi 0.0000 0.0000 0.0000  6 Cd 3.01
Bi 0.0000 0.0000 0.5000  6 Cd 3.01
Bi 0.0000 0.5000 0.0000  6 Cd 3.01
Bi 0.0000 0.5000 0.5000  6 Cd 3.01
Bi 0.1250 0.7500 0.8750  4 Cd 2.87
Bi 0.1250 0.8750 0.2500  4 Cd 2.87
Bi 0.2500 0.1250 0.8750  4 Cd 2.87
Bi 0.2500 0.6250 0.3750  4 Cd 2.87
Bi 0.3750 0.2500 0.6250  4 Cd 2.87
Bi 0.3750 0.6250 0.7500  4 Cd 2.87
Bi 0.5000 0.0000 0.0000  6 Cd 3.01
Bi 0.5000 0.0000 0.5000  6 Cd 3.01
Bi 0.5000 0.5000 0.0000  6 Cd 3.01
Bi 0.5000 0.5000 0.5000  6 Cd 3.01
Bi 0.6250 0.3750 0.2500  4 Cd 2.87
Bi 0.6250 0.7500 0.3750  4 Cd 2.87
Bi 0.7500 0.3750 0.6250  4 Cd 2.87
Bi 0.7500 0.8750 0.1250  4 Cd 2.87
Bi 0.8750 0.1250 0.7500  4 Cd 2.87
Bi 0.8750 0.2500 0.1250  4 Cd 2.87


[7]
Here is a relaxed CdGe2Bi2 crystal from the Alexandria database. Energies are from PBE.

## Properties
* energy above the lowest structure with this stoichiometry: 0.000 eV per atom
* SG: I4/mmm, No. 139
* V: 141.4 Å³/f.u.
* total DFT energy (no corrections): -0.123 hartree per atom
* total moment: 0.0000 μB per atom
* ΔE_f: 113 kJ/mol of formula units

a b c (Å): 6.0690 6.0690 6.0690
angles (deg): 125.97 125.97 79.94
Closest atoms and distances in Å follow each position.
Fractional coordinates of all 5 atoms:
Cd 0.0000 0.0000 0.0000  2 Ge 3.38, 8 Bi 3.61
Ge 0.3635 0.3635 0.0000  1 Ge 2.54
Ge 0.6365 0.6365 0.0000  1 Ge 2.54
Bi 0.2500 0.7500 0.5000  4 Ge 2.95
Bi 0.7500 0.2500 0.5000  4 Ge 2.95


[8]
Here is a relaxed CdGe2Bi crystal from the Alexandria database. Energies are from PBE.

## Properties
* energy above the lowest structure with this stoichiometry: 0.010 eV per atom
* SG: Fm-3m, No. 225
* V: 95.9 Å³/f.u.
* total DFT energy (no corrections): -0.118 hartree per atom
* total moment: 0.0000 μB per atom
* ΔE_f: 111 kJ/mol of formula units

a b c (Å): 5.1380 5.1380 5.1380
angles (deg): 60.00 60.00 60.00
Closest atoms and distances in Å follow each position.
Fractional coordinates of all 4 atoms:
Cd 0.0000 0.0000 0.0000  8 Ge 3.15
Ge 0.2500 0.2500 0.2500  4 Bi 3.15, 4 Cd 3.15
Ge 0.7500 0.7500 0.7500  4 Bi 3.15, 4 Cd 3.15
Bi 0.5000 0.5000 0.5000  8 Ge 3.15


[9]
Here is a relaxed CdGeBi2H crystal from the Alexandria database. Energies are from PBE.

## Properties
* SG: P4/mmm, No. 123
* V: 118.4 Å³/f.u.
* total DFT energy (no corrections): -0.114 hartree per atom
* total moment: 0.0000 μB per atom

a b c (Å): 5.8179 5.8179 3.4975
angles (deg): 90.00 90.00 90.00
Closest atoms and distances in Å follow each position.
Fractional coordinates of all 5 atoms:
Cd 0.0000 0.0000 0.0000  8 Bi 3.39, 2 Cd 3.50
Ge 0.5000 0.5000 0.5000  2 H 1.75
Bi 0.0000 0.5000 0.5000  2 Ge 2.91
Bi 0.5000 0.0000 0.5000  2 Ge 2.91
H 0.5000 0.5000 0.0000  2 Ge 1.75


[10]
Here is a relaxed CdHgGeBi crystal from the Alexandria database. Energies are from PBE.

## Properties
* SG: F-43m, No. 216
* V: 101.2 Å³/f.u.
* total DFT energy (no corrections): -0.082 hartree per atom
* total moment: 0.0000 μB per atom
* ΔE_f: 71 kJ/mol of formula units

a b c (Å): 5.2303 5.2303 5.2303
angles (deg): 60.00 60.00 60.00
Closest atoms and distances in Å follow each position.
Fractional coordinates of all 4 atoms:
Cd 0.0000 0.0000 0.0000  4 Hg 3.20, 4 Bi 3.20
Hg 0.7500 0.7500 0.7500  4 Ge 3.20, 4 Cd 3.20
Ge 0.5000 0.5000 0.5000  4 Hg 3.20, 4 Bi 3.20
Bi 0.2500 0.2500 0.2500  4 Cd 3.20, 4 Ge 3.20


[11]
Here is a relaxed LiCdGeBi crystal from the Alexandria database. Energies are from PBE.

## Properties
* SG: F-43m, No. 216
* V: 92.7 Å³/f.u.
* total DFT energy (no corrections): -0.104 hartree per atom
* total moment: 0.0000 μB per atom
* ΔE_f: 1 kJ/mol of formula units

a b c (Å): 5.0799 5.0799 5.0799
angles (deg): 60.00 60.00 60.00
Closest atoms and distances in Å follow each position.
Fractional coordinates of all 4 atoms:
Li 0.0000 0.0000 0.0000  4 Bi 3.11, 4 Ge 3.11
Cd 0.5000 0.5000 0.5000  4 Ge 3.11, 4 Bi 3.11
Ge 0.2500 0.2500 0.2500  4 Cd 3.11, 4 Li 3.11
Bi 0.7500 0.7500 0.7500  4 Cd 3.11, 4 Li 3.11


[12]
Here is a relaxed CdGeBiO4 crystal from the Alexandria database. Energies are from PBE.

## Properties
* SG: Imma, No. 74
* V: 102.5 Å³/f.u.
* total DFT energy (no corrections): -0.197 hartree per atom
* total moment: 0.0000 μB per atom

a b c (Å): 6.6207 6.6207 6.6207
angles (deg): 122.09 117.76 90.17
Closest atoms and distances in Å follow each position.
Fractional coordinates of all 14 atoms:
Cd 0.0000 0.0000 0.0000  6 O 2.43-2.50
Cd 0.5000 0.0000 0.5000  6 O 2.43-2.50
Ge 0.3737 0.6237 0.7500  4 O 1.80-1.83
Ge 0.6263 0.3763 0.2500  4 O 1.80-1.83
Bi 0.0000 0.0000 0.5000  6 O 2.42-2.52
Bi 0.0000 0.5000 0.0000  6 O 2.42-2.52
O 0.2584 0.2782 0.5198  1 Ge 1.83
O 0.2584 0.7385 0.9802  1 Ge 1.83
O 0.2674 0.7339 0.5335  1 Ge 1.80
O 0.2996 0.2661 0.0335  1 Ge 1.80
O 0.7004 0.7339 0.9665  1 Ge 1.80
O 0.7326 0.2661 0.4665  1 Ge 1.80
O 0.7416 0.2615 0.0198  1 Ge 1.83
O 0.7416 0.7218 0.4802  1 Ge 1.83